# 1
# LiCrNi PBE-GGA relaxed
# **Magnetic moment**: 0.85 μB/f.u.
# **Energy relative to the lowest polymorph listed for this composition**: 0.147 eV/atom
# **Calculated formation energy**: 0.989 eV/f.u.
data_LiCrNi
_chemical_formula_sum 'Li2 Cr2 Ni2'
_cell_length_a 2.4013
_cell_length_b 3.8310
_cell_length_c 7.3928
_cell_angle_alpha 90.00
_cell_angle_beta 90.00
_cell_angle_gamma 90.00
_symmetry_space_group_name_H-M 'I m m 2'
_symmetry_Int_Tables_number 44
_symmetry_space_group_name_Hall 'I 2 -2'
loop_
_atom_site_label
_atom_site_type_symbol
_atom_site_fract_x
_atom_site_fract_y
_atom_site_fract_z
Li1 Li 0.0000 0.0000 0.0000
Cr1 Cr 0.0000 0.0000 0.3251
Ni1 Ni 0.0000 0.0000 0.6646



# 2
# LiCrNi PBE-GGA relaxed
# **Magnetic moment**: 0.00 μB/f.u.
# **Energy relative to the lowest polymorph listed for this composition**: 0.000 eV/atom
# **Calculated formation energy**: 0.549 eV/f.u.
data_LiCrNi
_chemical_formula_sum 'Li2 Cr2 Ni2'
_cell_length_a 2.4777
_cell_length_b 4.5724
_cell_length_c 6.4504
_cell_angle_alpha 79.72
_cell_angle_beta 82.57
_cell_angle_gamma 77.63
_symmetry_space_group_name_H-M 'P -1'
_symmetry_Int_Tables_number 2
_symmetry_space_group_name_Hall '-P 1'
loop_
_atom_site_label
_atom_site_type_symbol
_atom_site_fract_x
_atom_site_fract_y
_atom_site_fract_z
Li1 Li 0.1654 0.4866 0.1686
Cr1 Cr 0.1042 0.0365 0.6532
Ni1 Ni 0.5000 0.0000 0.0000
Ni2 Ni 0.5000 0.5000 0.5000



# 3
# Li2CrNi8 PBE-GGA relaxed
# **Magnetic moment**: 1.98 μB/f.u.
# **Calculated formation energy**: 2.265 eV/f.u.
data_Li2CrNi8
_chemical_formula_sum 'Li4 Cr2 Ni16'
_cell_length_a 7.1459
_cell_length_b 9.1777
_cell_length_c 3.7557
_cell_angle_alpha 90.00
_cell_angle_beta 90.00
_cell_angle_gamma 90.00
_symmetry_space_group_name_H-M 'C m m m'
_symmetry_Int_Tables_number 65
_symmetry_space_group_name_Hall '-C 2 2'
loop_
_atom_site_label
_atom_site_type_symbol
_atom_site_fract_x
_atom_site_fract_y
_atom_site_fract_z
Li1 Li 0.0000 0.1155 0.0000
Cr1 Cr 0.0000 0.5000 0.5000
Ni1 Ni 0.0000 0.2437 0.5000
Ni2 Ni 0.1695 0.3671 0.0000
Ni3 Ni 0.1731 0.0000 0.5000



# 4
# LiCrNi2 PBE-GGA relaxed
# **Magnetic moment**: 3.02 μB/f.u.
# **Energy relative to the lowest polymorph listed for this composition**: 0.427 eV/atom
# **Calculated formation energy**: 1.856 eV/f.u.
data_LiCrNi2
_chemical_formula_sum 'Li4 Cr4 Ni8'
_cell_length_a 6.3340
_cell_length_b 6.3340
_cell_length_c 4.9778
_cell_angle_alpha 90.00
_cell_angle_beta 90.00
_cell_angle_gamma 90.00
_symmetry_space_group_name_H-M 'I -4 2 d'
_symmetry_Int_Tables_number 122
_symmetry_space_group_name_Hall 'I -4 2bw'
loop_
_atom_site_label
_atom_site_type_symbol
_atom_site_fract_x
_atom_site_fract_y
_atom_site_fract_z
Li1 Li 0.0000 0.0000 0.0000
Cr1 Cr 0.0000 0.0000 0.5000
Ni1 Ni 0.2479 0.2500 0.1250



# 5
# LiCrNi2 PBE-GGA relaxed
# **Magnetic moment**: 2.43 μB/f.u.
# **Energy relative to the lowest polymorph listed for this composition**: 0.138 eV/atom
# **Calculated formation energy**: 0.697 eV/f.u.
data_LiCrNi2
_chemical_formula_sum 'Li2 Cr2 Ni4'
_cell_length_a 3.5259
_cell_length_b 3.5259
_cell_length_c 7.3936
_cell_angle_alpha 90.00
_cell_angle_beta 90.00
_cell_angle_gamma 90.00
_symmetry_space_group_name_H-M 'I -4 m 2'
_symmetry_Int_Tables_number 119
_symmetry_space_group_name_Hall 'I -4 -2'
loop_
_atom_site_label
_atom_site_type_symbol
_atom_site_fract_x
_atom_site_fract_y
_atom_site_fract_z
Li1 Li 0.0000 0.0000 0.0000
Cr1 Cr 0.0000 0.5000 0.2500
Ni1 Ni 0.0000 0.0000 0.5000
Ni2 Ni 0.0000 0.5000 0.7500



# 6
# Li2CrNi PBE-GGA relaxed
# **Magnetic moment**: 0.18 μB/f.u.
# **Energy relative to the lowest polymorph listed for this composition**: 0.174 eV/atom
# **Calculated formation energy**: 1.555 eV/f.u.
data_Li2CrNi
_chemical_formula_sum 'Li8 Cr4 Ni4'
_cell_length_a 5.6924
_cell_length_b 5.6924
_cell_length_c 5.6924
_cell_angle_alpha 90.00
_cell_angle_beta 90.00
_cell_angle_gamma 90.00
_symmetry_space_group_name_H-M 'F -4 3 m'
_symmetry_Int_Tables_number 216
_symmetry_space_group_name_Hall 'F -4 2 3'
loop_
_atom_site_label
_atom_site_type_symbol
_atom_site_fract_x
_atom_site_fract_y
_atom_site_fract_z
Li1 Li 0.0000 0.0000 0.0000
Li2 Li 0.2500 0.2500 0.2500
Cr1 Cr 0.0000 0.0000 0.5000
Ni1 Ni 0.2500 0.2500 0.7500



# 7
# LiCrNi2 PBE-GGA relaxed
# **Magnetic moment**: 1.38 μB/f.u.
# **Energy relative to the lowest polymorph listed for this composition**: 0.069 eV/atom
# **Calculated formation energy**: 0.422 eV/f.u.
data_LiCrNi2
_chemical_formula_sum 'Li2 Cr2 Ni4'
_cell_length_a 5.2323
_cell_length_b 6.9257
_cell_length_c 2.4817
_cell_angle_alpha 90.00
_cell_angle_beta 90.00
_cell_angle_gamma 90.00
_symmetry_space_group_name_H-M 'C m m m'
_symmetry_Int_Tables_number 65
_symmetry_space_group_name_Hall '-C 2 2'
loop_
_atom_site_label
_atom_site_type_symbol
_atom_site_fract_x
_atom_site_fract_y
_atom_site_fract_z
Li1 Li 0.0000 0.0000 0.0000
Cr1 Cr 0.0000 0.5000 0.0000
Ni1 Ni 0.2500 0.2500 0.5000



# 8
# LiCrNi2 PBE-GGA relaxed
# **Magnetic moment**: 2.33 μB/f.u.
# **Energy relative to the lowest polymorph listed for this composition**: 0.150 eV/atom
# **Calculated formation energy**: 0.745 eV/f.u.
data_LiCrNi2
_chemical_formula_sum 'Li2 Cr2 Ni4'
_cell_length_a 2.6854
_cell_length_b 4.1007
_cell_length_c 8.4539
_cell_angle_alpha 90.00
_cell_angle_beta 90.00
_cell_angle_gamma 90.00
_symmetry_space_group_name_H-M 'I m m 2'
_symmetry_Int_Tables_number 44
_symmetry_space_group_name_Hall 'I 2 -2'
loop_
_atom_site_label
_atom_site_type_symbol
_atom_site_fract_x
_atom_site_fract_y
_atom_site_fract_z
Li1 Li 0.0000 0.0000 0.0000
Cr1 Cr 0.0000 0.5000 0.7725
Ni1 Ni 0.0000 0.0000 0.5067
Ni2 Ni 0.0000 0.5000 0.2508



# 9
# Li2CrNi PBE-GGA relaxed
# **Magnetic moment**: 0.00 μB/f.u.
# **Energy relative to the lowest polymorph listed for this composition**: 0.595 eV/atom
# **Calculated formation energy**: 3.239 eV/f.u.
data_Li2CrNi
_chemical_formula_sum 'Li8 Cr4 Ni4'
_cell_length_a 6.5782
_cell_length_b 6.5782
_cell_length_c 4.6377
_cell_angle_alpha 90.00
_cell_angle_beta 90.00
_cell_angle_gamma 90.00
_symmetry_space_group_name_H-M 'I -4 2 d'
_symmetry_Int_Tables_number 122
_symmetry_space_group_name_Hall 'I -4 2bw'
loop_
_atom_site_label
_atom_site_type_symbol
_atom_site_fract_x
_atom_site_fract_y
_atom_site_fract_z
Li1 Li 0.2302 0.2500 0.1250
Cr1 Cr 0.0000 0.0000 0.5000
Ni1 Ni 0.0000 0.0000 0.0000



# 10
# Li2CrNi PBE-GGA relaxed
# **Magnetic moment**: 0.00 μB/f.u.
# **Energy relative to the lowest polymorph listed for this composition**: 0.000 eV/atom
# **Calculated formation energy**: 0.857 eV/f.u.
data_Li2CrNi
_chemical_formula_sum 'Li4 Cr2 Ni2'
_cell_length_a 2.8736
_cell_length_b 3.9976
_cell_length_c 8.8861
_cell_angle_alpha 90.00
_cell_angle_beta 90.00
_cell_angle_gamma 90.00
_symmetry_space_group_name_H-M 'C m m 2'
_symmetry_Int_Tables_number 35
_symmetry_space_group_name_Hall 'C 2 -2'
loop_
_atom_site_label
_atom_site_type_symbol
_atom_site_fract_x
_atom_site_fract_y
_atom_site_fract_z
Li1 Li 0.0000 0.0000 0.0000
Li2 Li 0.0000 0.5000 0.2922
Cr1 Cr 0.0000 0.0000 0.5489
Ni1 Ni 0.0000 0.5000 0.7664



# 11
# LiCrNi PBE-GGA relaxed
# **Magnetic moment**: 0.00 μB/f.u.
# **Energy relative to the lowest polymorph listed for this composition**: 0.096 eV/atom
# **Calculated formation energy**: 0.837 eV/f.u.
data_LiCrNi
_chemical_formula_sum 'Li4 Cr4 Ni4'
_cell_length_a 7.9933
_cell_length_b 5.0892
_cell_length_c 3.7448
_cell_angle_alpha 90.00
_cell_angle_beta 117.62
_cell_angle_gamma 90.00
_symmetry_space_group_name_H-M 'C 1 2/m 1'
_symmetry_Int_Tables_number 12
_symmetry_space_group_name_Hall '-C 2y'
loop_
_atom_site_label
_atom_site_type_symbol
_atom_site_fract_x
_atom_site_fract_y
_atom_site_fract_z
Li1 Li 0.0672 0.0000 0.3170
Cr1 Cr 0.0850 0.5000 0.3387
Ni1 Ni 0.2500 0.2500 0.0000



# 12
# LiCrNi PBE-GGA relaxed
# **Magnetic moment**: 0.00 μB/f.u.
# **Energy relative to the lowest polymorph listed for this composition**: 0.078 eV/atom
# **Calculated formation energy**: 0.782 eV/f.u.
data_LiCrNi
_chemical_formula_sum 'Li2 Cr2 Ni2'
_cell_length_a 2.4641
_cell_length_b 2.4641
_cell_length_c 11.8616
_cell_angle_alpha 90.00
_cell_angle_beta 90.00
_cell_angle_gamma 90.00
_symmetry_space_group_name_H-M 'I 4 m m'
_symmetry_Int_Tables_number 107
_symmetry_space_group_name_Hall 'I 4 -2'
loop_
_atom_site_label
_atom_site_type_symbol
_atom_site_fract_x
_atom_site_fract_y
_atom_site_fract_z
Li1 Li 0.0000 0.0000 0.0000
Cr1 Cr 0.0000 0.0000 0.6916
Ni1 Ni 0.0000 0.0000 0.3373



# 13
# LiCr2Ni2 PBE-GGA relaxed
# **Magnetic moment**: 0.00 μB/f.u.
# **Energy relative to the lowest polymorph listed for this composition**: 0.000 eV/atom
# **Calculated formation energy**: 0.912 eV/f.u.
data_LiCr2Ni2
_chemical_formula_sum 'Li2 Cr4 Ni4'
_cell_length_a 7.1488
_cell_length_b 7.1488
_cell_length_c 2.4286
_cell_angle_alpha 90.00
_cell_angle_beta 90.00
_cell_angle_gamma 90.00
_symmetry_space_group_name_H-M 'P 4/m b m'
_symmetry_Int_Tables_number 127
_symmetry_space_group_name_Hall '-P 4 2ab'
loop_
_atom_site_label
_atom_site_type_symbol
_atom_site_fract_x
_atom_site_fract_y
_atom_site_fract_z
Li1 Li 0.0000 0.0000 0.0000
Cr1 Cr 0.1130 0.3870 0.0000
Ni1 Ni 0.1784 0.6784 0.5000



# 14
# Li2CrNi PBE-GGA relaxed
# **Magnetic moment**: 0.01 μB/f.u.
# **Energy relative to the lowest polymorph listed for this composition**: 0.034 eV/atom
# **Calculated formation energy**: 0.994 eV/f.u.
data_Li2CrNi
_chemical_formula_sum 'Li4 Cr2 Ni2'
_cell_length_a 2.6452
_cell_length_b 4.0460
_cell_length_c 8.9398
_cell_angle_alpha 90.00
_cell_angle_beta 90.00
_cell_angle_gamma 90.00
_symmetry_space_group_name_H-M 'C m m m'
_symmetry_Int_Tables_number 65
_symmetry_space_group_name_Hall '-C 2 2'
loop_
_atom_site_label
_atom_site_type_symbol
_atom_site_fract_x
_atom_site_fract_y
_atom_site_fract_z
Li1 Li 0.0000 0.0000 0.2358
Cr1 Cr 0.0000 0.5000 0.5000
Ni1 Ni 0.0000 0.5000 0.0000



# 15
# LiCrNi2 PBE-GGA relaxed
# **Magnetic moment**: 2.63 μB/f.u.
# **Energy relative to the lowest polymorph listed for this composition**: 0.103 eV/atom
# **Calculated formation energy**: 0.559 eV/f.u.
data_LiCrNi2
_chemical_formula_sum 'Li2 Cr2 Ni4'
_cell_length_a 3.7926
_cell_length_b 3.7926
_cell_length_c 6.3695
_cell_angle_alpha 90.00
_cell_angle_beta 90.00
_cell_angle_gamma 90.00
_symmetry_space_group_name_H-M 'I 4/m m m'
_symmetry_Int_Tables_number 139
_symmetry_space_group_name_Hall '-I 4 2'
loop_
_atom_site_label
_atom_site_type_symbol
_atom_site_fract_x
_atom_site_fract_y
_atom_site_fract_z
Li1 Li 0.0000 0.0000 0.0000
Cr1 Cr 0.0000 0.0000 0.5000
Ni1 Ni 0.0000 0.5000 0.2500



# 16
# LiCrNi PBE-GGA relaxed
# **Magnetic moment**: 0.83 μB/f.u.
# **Energy relative to the lowest polymorph listed for this composition**: 0.062 eV/atom
# **Calculated formation energy**: 0.734 eV/f.u.
data_LiCrNi
_chemical_formula_sum 'Li1 Cr1 Ni1'
_cell_length_a 2.5113
_cell_length_b 2.5113
_cell_length_c 6.5894
_cell_angle_alpha 90.00
_cell_angle_beta 90.00
_cell_angle_gamma 120.00
_symmetry_space_group_name_H-M 'P 3 m 1'
_symmetry_Int_Tables_number 156
_symmetry_space_group_name_Hall 'P 3 -2"'
loop_
_atom_site_label
_atom_site_type_symbol
_atom_site_fract_x
_atom_site_fract_y
_atom_site_fract_z
Li1 Li 0.0000 0.0000 0.0000
Cr1 Cr 0.3333 0.6667 0.6339
Ni1 Ni 0.6667 0.3333 0.3309



# 17
# LiCrNi6 PBE-GGA relaxed
# **Magnetic moment**: 0.51 μB/f.u.
# **Energy relative to the lowest polymorph listed for this composition**: 0.000 eV/atom
# **Calculated formation energy**: -0.151 eV/f.u.
data_LiCrNi6
_chemical_formula_sum 'Li1 Cr1 Ni6'
_cell_length_a 3.5361
_cell_length_b 3.5361
_cell_length_c 6.9836
_cell_angle_alpha 90.00
_cell_angle_beta 90.00
_cell_angle_gamma 90.00
_symmetry_space_group_name_H-M 'P 4/m m m'
_symmetry_Int_Tables_number 123
_symmetry_space_group_name_Hall '-P 4 2'
loop_
_atom_site_label
_atom_site_type_symbol
_atom_site_fract_x
_atom_site_fract_y
_atom_site_fract_z
Li1 Li 0.0000 0.0000 0.0000
Cr1 Cr 0.0000 0.0000 0.5000
Ni1 Ni 0.0000 0.5000 0.2539
Ni2 Ni 0.5000 0.5000 0.0000
Ni3 Ni 0.5000 0.5000 0.5000



# 18
# LiCrNi PBE-GGA relaxed
# **Magnetic moment**: 0.00 μB/f.u.
# **Energy relative to the lowest polymorph listed for this composition**: 0.071 eV/atom
# **Calculated formation energy**: 0.762 eV/f.u.
data_LiCrNi
_chemical_formula_sum 'Li2 Cr2 Ni2'
_cell_length_a 4.1438
_cell_length_b 4.1438
_cell_length_c 5.0548
_cell_angle_alpha 90.00
_cell_angle_beta 90.00
_cell_angle_gamma 120.00
_symmetry_space_group_name_H-M 'P -3 m 1'
_symmetry_Int_Tables_number 164
_symmetry_space_group_name_Hall '-P 3 2"'
loop_
_atom_site_label
_atom_site_type_symbol
_atom_site_fract_x
_atom_site_fract_y
_atom_site_fract_z
Li1 Li 0.3333 0.6667 0.0730
Cr1 Cr 0.0000 0.0000 0.3155
Ni1 Ni 0.3333 0.6667 0.5783



# 19
# Li2CrNi PBE-GGA relaxed
# **Magnetic moment**: 0.94 μB/f.u.
# **Energy relative to the lowest polymorph listed for this composition**: 0.003 eV/atom
# **Calculated formation energy**: 0.868 eV/f.u.
data_Li2CrNi
_chemical_formula_sum 'Li2 Cr1 Ni1'
_cell_length_a 2.5286
_cell_length_b 2.5286
_cell_length_c 8.2691
_cell_angle_alpha 90.00
_cell_angle_beta 90.00
_cell_angle_gamma 90.00
_symmetry_space_group_name_H-M 'P 4 m m'
_symmetry_Int_Tables_number 99
_symmetry_space_group_name_Hall 'P 4 -2'
loop_
_atom_site_label
_atom_site_type_symbol
_atom_site_fract_x
_atom_site_fract_y
_atom_site_fract_z
Li1 Li 0.0000 0.0000 0.0000
Li2 Li 0.5000 0.5000 0.3030
Cr1 Cr 0.5000 0.5000 0.7304
Ni1 Ni 0.0000 0.0000 0.5289



# 20
# LiCrNi6 PBE-GGA relaxed
# **Magnetic moment**: 0.38 μB/f.u.
# **Energy relative to the lowest polymorph listed for this composition**: 0.005 eV/atom
# **Calculated formation energy**: -0.115 eV/f.u.
data_LiCrNi6
_chemical_formula_sum 'Li8 Cr8 Ni48'
_cell_length_a 7.0505
_cell_length_b 9.9438
_cell_length_c 9.9597
_cell_angle_alpha 90.00
_cell_angle_beta 90.00
_cell_angle_gamma 90.00
_symmetry_space_group_name_H-M 'C m m m'
_symmetry_Int_Tables_number 65
_symmetry_space_group_name_Hall '-C 2 2'
loop_
_atom_site_label
_atom_site_type_symbol
_atom_site_fract_x
_atom_site_fract_y
_atom_site_fract_z
Li1 Li 0.0000 0.0000 0.2488
Li2 Li 0.0000 0.2514 0.0000
Cr1 Cr 0.0000 0.2493 0.5000
Cr2 Cr 0.0000 0.5000 0.2420
Ni1 Ni 0.0000 0.0000 0.0000
Ni2 Ni 0.0000 0.0000 0.5000
Ni3 Ni 0.0000 0.2523 0.2532
Ni4 Ni 0.0000 0.5000 0.0000
Ni5 Ni 0.0000 0.5000 0.5000
Ni6 Ni 0.2470 0.3741 0.3765
Ni7 Ni 0.2474 0.3759 0.1266